Entry 1:
A relaxed structure of SrZr2Mn. Source: Alexandria via LeMat-Bulk, functional GGA-PBE.

abc: 10.6361 10.6361 10.6361
angles: 17.97 17.97 17.97
Last column: nearest neighbours and their distance in Å.
Fractional coordinates of all 4 atoms:
Zr1 0.9905 0.9905 0.9905  9 Zr 3.16-3.32
Zr2 0.2439 0.2439 0.2439  3 Mn 2.87, 3 Zr 3.16
Mn1 0.5094 0.5094 0.5094  3 Zr 2.87
Sr1 0.7562 0.7562 0.7562  6 Sr 3.32, 3 Mn 3.32, 3 Zr 3.65

The distance to the lowest polymorph of the same formula is 187.4 meV per atom. As for the size of the total moment: 0.82 μB per atom. As for the final energy: -6.4862 eV per atom. The calculation puts the formation energy at 0.50 eV/atom.

Entry 2:
A relaxed structure of SrLiCl2. Source: Alexandria via LeMat-Bulk, functional GGA-PBE.

abc: 3.6480 3.6469 11.4796
angles: 90.00 90.00 90.00
Last column: nearest neighbours and their distance in Å.
Fractional coordinates of all 4 atoms:
Cl1 0.0000 0.0000 0.8905  4 Sr 3.04, 1 Cl 3.23
Cl2 0.0000 0.0000 0.6095  4 Sr 3.04, 1 Cl 3.23
Li1 0.5000 0.5000 0.2500  4 Li 3.65
Sr1 0.5000 0.5000 0.7500  8 Cl 3.04

The distance to the lowest polymorph of the same formula is 155.6 meV per atom. As for the size of the total moment: 0.00 μB per atom. As for the final energy: -3.3147 eV per atom.

Among the records above, which one has the highest distance to the lowest polymorph of the same formula?
SrZr2Mn

Which value of size of the total moment does entry 2 give?
0.00 μB per atom

Which value of final energy does entry 2 give?
-3.3147 eV per atom

What is the size of the total moment in the second record?
0.00 μB per atom